[1]
# Sn2IN PBE optimized geometry
# - Formation energy from raw total energies: 258 meV/atom
# - Magnetization: 0.000 μB/cell
# - Offset from the most stable computed form: 0 kJ/mol of formula units
data_Sn2IN
_cell_length_a 7.492
_cell_length_b 7.492
_cell_length_c 7.605
_cell_angle_alpha 90.00
_cell_angle_beta 90.00
_cell_angle_gamma 90.00
_symmetry_space_group_name_H-M 'I -4 2 d'
_symmetry_Int_Tables_number 122
_symmetry_space_group_name_Hall 'I -4 2bw'
loop_
_atom_site_label
_atom_site_fract_x
_atom_site_fract_y
_atom_site_fract_z
_atom_site_occupancy
Sn1 0.128 0.250 0.125 1
I1 0.000 0.000 0.500 1
N1 0.000 0.000 0.000 1



[2]
# LaGa2Ag4 PBE optimized geometry
# - Magnetization: 0.000 μB/cell
# - ΔE_f: -0.283 eV per atom
data_LaGa2Ag4
_cell_length_a 4.448
_cell_length_b 14.420
_cell_length_c 4.468
_cell_angle_alpha 90.00
_cell_angle_beta 90.00
_cell_angle_gamma 90.00
_symmetry_space_group_name_H-M 'C m m m'
_symmetry_Int_Tables_number 65
_symmetry_space_group_name_Hall '-C 2 2'
loop_
_atom_site_label
_atom_site_fract_x
_atom_site_fract_y
_atom_site_fract_z
_atom_site_occupancy
La1 0.000 0.000 0.000 1
Ga1 0.000 0.414 0.500 1
Ag1 0.000 0.185 0.500 1
Ag2 0.000 0.317 0.000 1



[3]
# Co2TcSe PBE optimized geometry
# - Formation energy from raw total energies: 258 meV/atom
# - Magnetization: 1.475 μB/cell
data_Co2TcSe
_cell_length_a 2.768
_cell_length_b 2.768
_cell_length_c 6.833
_cell_angle_alpha 90.00
_cell_angle_beta 90.00
_cell_angle_gamma 90.00
_symmetry_space_group_name_H-M 'P 4/m m m'
_symmetry_Int_Tables_number 123
_symmetry_space_group_name_Hall '-P 4 2'
loop_
_atom_site_label
_atom_site_fract_x
_atom_site_fract_y
_atom_site_fract_z
_atom_site_occupancy
Co1 0.000 0.000 0.248 1
Tc1 0.500 0.500 0.500 1
Se1 0.500 0.500 0.000 1



[4]
# AcPrNdAg PBE optimized geometry
# - Magnetization: 0.001 μB/cell
# - Offset from the most stable computed form: 0 kJ/mol of formula units
# - ΔE_f: -0.102 eV per atom
data_AcPrNdAg
_cell_length_a 3.831
_cell_length_b 3.831
_cell_length_c 8.981
_cell_angle_alpha 90.00
_cell_angle_beta 90.00
_cell_angle_gamma 90.00
_symmetry_space_group_name_H-M 'P 4 m m'
_symmetry_Int_Tables_number 99
_symmetry_space_group_name_Hall 'P 4 -2'
loop_
_atom_site_label
_atom_site_fract_x
_atom_site_fract_y
_atom_site_fract_z
_atom_site_occupancy
Ac1 0.000 0.000 0.000 1
Pr1 0.500 0.500 0.703 1
Nd1 0.500 0.500 0.294 1
Ag1 0.000 0.000 0.495 1



[5]
# BaCa2PN PBE optimized geometry
# - Formation energy from raw total energies: -791 meV/atom
# - Magnetization: 0.000 μB/cell
data_BaCa2PN
_cell_length_a 4.814
_cell_length_b 4.814
_cell_length_c 5.425
_cell_angle_alpha 90.00
_cell_angle_beta 90.00
_cell_angle_gamma 90.00
_symmetry_space_group_name_H-M 'P 4/m m m'
_symmetry_Int_Tables_number 123
_symmetry_space_group_name_Hall '-P 4 2'
loop_
_atom_site_label
_atom_site_fract_x
_atom_site_fract_y
_atom_site_fract_z
_atom_site_occupancy
Ba1 0.000 0.000 0.000 1
Ca1 0.000 0.500 0.500 1
P1 0.500 0.500 0.000 1
N1 0.000 0.000 0.500 1



[6]
# Pm2CuSeO6 PBE optimized geometry
# - Formation energy from raw total energies: -1781 meV/atom
# - Magnetization: 0.000 μB/cell
data_Pm2CuSeO6
_cell_length_a 5.565
_cell_length_b 5.565
_cell_length_c 4.312
_cell_angle_alpha 90.00
_cell_angle_beta 90.00
_cell_angle_gamma 90.00
_symmetry_space_group_name_H-M 'P 4 m m'
_symmetry_Int_Tables_number 99
_symmetry_space_group_name_Hall 'P 4 -2'
loop_
_atom_site_label
_atom_site_fract_x
_atom_site_fract_y
_atom_site_fract_z
_atom_site_occupancy
Pm1 0.000 0.500 0.000 1
Cu1 0.000 0.000 0.594 1
Se1 0.500 0.500 0.607 1
O1 0.000 0.000 0.121 1
O2 0.254 0.254 0.675 1
O3 0.500 0.500 0.193 1



[7]
# Er3Sc3Al2Fe PBE optimized geometry
# - Magnetization: 0.099 μB/cell
# - ΔE_f: -0.224 eV per atom
data_Er3Sc3Al2Fe
_cell_length_a 8.0455
_cell_length_b 8.0455
_cell_length_c 3.7164
_cell_angle_alpha 90.00
_cell_angle_beta 90.00
_cell_angle_gamma 120.00
_symmetry_space_group_name_H-M 'P -6 2 m'
_symmetry_Int_Tables_number 189
_symmetry_space_group_name_Hall 'P -6 -2'
loop_
_atom_site_label
_atom_site_fract_x
_atom_site_fract_y
_atom_site_fract_z
_atom_site_occupancy
Er1 0.0000 0.3933 0.0000 1
Sc1 0.0000 0.7646 0.5000 1
Al1 0.3333 0.6667 0.5000 1
Fe1 0.0000 0.0000 0.0000 1



[8]
# Pr4HCS2 PBE optimized geometry
# - E: -6.119 eV/atom
# - Magnetization: 0.000 μB/cell
data_Pr4HCS2
_cell_length_a 6.813
_cell_length_b 3.959
_cell_length_c 6.886
_cell_angle_alpha 90.00
_cell_angle_beta 107.95
_cell_angle_gamma 90.00
_symmetry_space_group_name_H-M 'P 1 2/m 1'
_symmetry_Int_Tables_number 10
_symmetry_space_group_name_Hall '-P 2y'
loop_
_atom_site_label
_atom_site_fract_x
_atom_site_fract_y
_atom_site_fract_z
_atom_site_occupancy
Pr1 0.232 0.000 0.218 1
Pr2 0.234 0.500 0.761 1
H1 0.500 0.000 0.000 1
C1 0.000 0.500 0.000 1
S1 0.000 0.000 0.500 1
S2 0.500 0.500 0.500 1



Among the records above, which one has the highest magnetization?
Co2TcSe



Number 5 is which compound?
BaCa2PN



magnetization of number 6 (Pm2CuSeO6)?
0.000 μB/cell



Which of these has the highest magnetization?
Co2TcSe